LiBe3Ga: relaxed, GGA-PBE.

Cell lengths 4.223, 4.223, 4.223 Å; angles 90.00, 90.00, 90.00 degrees
Atoms (fractional coordinates):
Li1 0.000 0.000 0.000
Be1 0.000 0.500 0.500
Be2 0.500 0.000 0.500
Be3 0.500 0.500 0.000
Ga1 0.500 0.500 0.500

Values from the calculation:
energy above the most stable polymorph in this dataset: 0.0000 eV per atom
crystal system: cubic
volume: 15.07 Å³ per atom
energy relative to the elements: 0.680 eV per atom
density of states at the Fermi level: 1.3 states/eV/cell

=====

Li3BeGa: relaxed, GGA-PBE.

Cell lengths 4.709, 4.709, 4.709 Å; angles 90.00, 90.00, 90.00 degrees
Atoms (fractional coordinates):
Li1 0.000 0.000 0.500
Li2 0.000 0.500 0.000
Li3 0.500 0.000 0.000
Be1 0.500 0.500 0.500
Ga1 0.000 0.000 0.000

Values from the calculation:
energy above the most stable polymorph in this dataset: 0.2266 eV per atom
crystal system: cubic
volume: 20.89 Å³ per atom
energy relative to the elements: 0.639 eV per atom
density of states at the Fermi level: 3.0 states/eV/cell

=====

Li2BeGa: relaxed, GGA-PBE.

Cell lengths 5.570, 5.570, 5.570 Å; angles 99.68, 99.68, 131.58 degrees
Atoms (fractional coordinates):
Li1 0.093 0.625 0.968
Li2 0.375 0.343 0.468
Li3 0.657 0.125 0.032
Li4 0.875 0.907 0.532
Be1 0.000 0.000 0.000
Be2 0.750 0.250 0.500
Ga1 0.250 0.750 0.500
Ga2 0.500 0.500 0.000

Values from the calculation:
energy above the most stable polymorph in this dataset: 0.1992 eV per atom
crystal system: tetragonal
volume: 14.74 Å³ per atom
energy relative to the elements: 0.241 eV per atom
density of states at the Fermi level: 2.5 states/eV/cell

=====

LiBeGa2: relaxed, GGA-PBE.

Cell lengths 4.266, 4.266, 4.266 Å; angles 60.00, 60.00, 60.00 degrees
Atoms (fractional coordinates):
Li1 0.000 0.000 0.000
Be1 0.500 0.500 0.500
Ga1 0.250 0.250 0.250
Ga2 0.750 0.750 0.750

Values from the calculation:
energy above the most stable polymorph in this dataset: 0.0264 eV per atom
crystal system: cubic
volume: 13.72 Å³ per atom
energy relative to the elements: 0.011 eV per atom
density of states at the Fermi level: 1.5 states/eV/cell

=====

Li3BeGa: relaxed, GGA-PBE.

Cell lengths 4.468, 4.468, 4.468 Å; angles 90.00, 90.00, 90.00 degrees
Atoms (fractional coordinates):
Li1 0.000 0.000 0.500
Li2 0.000 0.500 0.000
Li3 0.500 0.000 0.000
Be1 0.000 0.000 0.000
Ga1 0.500 0.500 0.500

Values from the calculation:
energy above the most stable polymorph in this dataset: 0.0000 eV per atom
crystal system: cubic
volume: 17.84 Å³ per atom
energy relative to the elements: 0.413 eV per atom
density of states at the Fermi level: 2.0 states/eV/cell

=====

LiBe2Ga: relaxed, GGA-PBE.

Cell lengths 8.418, 8.418, 8.418 Å; angles 152.05, 152.05, 39.93 degrees
Atoms (fractional coordinates):
Li1 0.375 0.625 0.750
Li2 0.625 0.375 0.250
Be1 0.000 0.000 0.000
Be2 0.000 0.000 0.500
Be3 0.000 0.500 0.000
Be4 0.500 0.000 0.500
Ga1 0.125 0.875 0.250
Ga2 0.875 0.125 0.750

Values from the calculation:
energy above the most stable polymorph in this dataset: 0.2908 eV per atom
crystal system: tetragonal
volume: 16.34 Å³ per atom
energy relative to the elements: 0.384 eV per atom
density of states at the Fermi level: 3.3 states/eV/cell

=====

LiLuBeGa: relaxed, GGA-PBE.

Cell lengths 4.422, 4.422, 4.422 Å; angles 60.00, 60.00, 60.00 degrees
Atoms (fractional coordinates):
Li1 0.000 0.000 0.000
Lu1 0.750 0.750 0.750
Be1 0.500 0.500 0.500
Ga1 0.250 0.250 0.250

Values from the calculation:
crystal system: cubic
volume: 15.28 Å³ per atom
energy relative to the elements: -0.137 eV per atom
density of states at the Fermi level: 1.5 states/eV/cell

=====

LiMgBeGa: relaxed, GGA-PBE.

Cell lengths 4.320, 4.320, 4.320 Å; angles 60.00, 60.00, 60.00 degrees
Atoms (fractional coordinates):
Li1 0.000 0.000 0.000
Mg1 0.750 0.750 0.750
Be1 0.500 0.500 0.500
Ga1 0.250 0.250 0.250

Values from the calculation:
crystal system: cubic
volume: 14.25 Å³ per atom
energy relative to the elements: -0.007 eV per atom
density of states at the Fermi level: 1.2 states/eV/cell

=====

LiNdBeGa: relaxed, GGA-PBE.

Cell lengths 4.602, 4.602, 4.602 Å; angles 60.00, 60.00, 60.00 degrees
Atoms (fractional coordinates):
Li1 0.000 0.000 0.000
Nd1 0.750 0.750 0.750
Be1 0.500 0.500 0.500
Ga1 0.250 0.250 0.250

Values from the calculation:
crystal system: cubic
volume: 17.23 Å³ per atom
energy relative to the elements: -0.159 eV per atom
density of states at the Fermi level: 0.6 states/eV/cell

=====

LiBeGaNi: relaxed, GGA-PBE.

Cell lengths 3.992, 3.992, 3.992 Å; angles 60.00, 60.00, 60.00 degrees
Atoms (fractional coordinates):
Li1 0.000 0.000 0.000
Be1 0.250 0.250 0.250
Ga1 0.750 0.750 0.750
Ni1 0.500 0.500 0.500

Values from the calculation:
crystal system: cubic
volume: 11.24 Å³ per atom
energy relative to the elements: -0.246 eV per atom
density of states at the Fermi level: 1.7 states/eV/cell

=====

Results for spin magnetization: 0.000 0.000 0.000 0.000 0.000 0.000 0.000 0.000 0.000 0.000 (in Bohr magnetons per cell, following the order of the records).